Entry 1:
The following is a GGA-PBE calculation of a relaxed structure of Tm6TeP2S3, from Alexandria.

Computed properties:
total energy: -6.16 eV per atom
symmetry: No. 12
E_form (uncorrected): -20.698 eV/f.u.

CIF file:
```
data_Tm6TeP2S3
_cell_length_a 8.829
_cell_length_b 8.829
_cell_length_c 7.966
_cell_angle_alpha 102.21
_cell_angle_beta 102.21
_cell_angle_gamma 25.83
_symmetry_space_group_name_H-M 'P 1'
_symmetry_Int_Tables_number 1
loop_
_symmetry_equiv_pos_as_xyz
'x,y,z'
loop_
_atom_site_label
_atom_site_fract_x
_atom_site_fract_y
_atom_site_fract_z
Tm1 0.006 0.006 0.283
Tm2 0.322 0.322 0.896
Tm3 0.331 0.331 0.422
Tm4 0.669 0.669 0.578
Tm5 0.678 0.678 0.104
Tm6 0.994 0.994 0.717
Te1 0.500 0.500 0.000
P1 0.168 0.168 0.335
P2 0.832 0.832 0.665
S1 0.162 0.162 0.835
S2 0.500 0.500 0.500
S3 0.838 0.838 0.165
```

Entry 2:
The following is a GGA-PBE calculation of a relaxed structure of Tm4TePS2, from Alexandria.

Computed properties:
total energy: -6.01 eV per atom
symmetry: No. 10
E_form (uncorrected): -13.366 eV/f.u.

CIF file:
```
data_Tm4TePS2
_cell_length_a 6.849
_cell_length_b 3.957
_cell_length_c 7.037
_cell_angle_alpha 90.00
_cell_angle_beta 109.04
_cell_angle_gamma 90.00
_symmetry_space_group_name_H-M 'P 1'
_symmetry_Int_Tables_number 1
loop_
_symmetry_equiv_pos_as_xyz
'x,y,z'
loop_
_atom_site_label
_atom_site_fract_x
_atom_site_fract_y
_atom_site_fract_z
Tm1 0.226 0.000 0.213
Tm2 0.246 0.500 0.774
Tm3 0.754 0.500 0.226
Tm4 0.774 0.000 0.787
Te1 0.500 0.500 0.500
P1 0.500 0.000 0.000
S1 0.000 0.000 0.500
S2 0.000 0.500 0.000
```

Entry 3:
The following is a GGA-PBE calculation of a relaxed structure of Tm8Te4PS3, from Alexandria.

Computed properties:
total energy: -5.70 eV per atom
symmetry: No. 166
E_form (uncorrected): -25.046 eV/f.u.

CIF file:
```
data_Tm8Te4PS3
_cell_length_a 8.301
_cell_length_b 8.301
_cell_length_c 8.301
_cell_angle_alpha 58.09
_cell_angle_beta 58.09
_cell_angle_gamma 58.09
_symmetry_space_group_name_H-M 'P 1'
_symmetry_Int_Tables_number 1
loop_
_symmetry_equiv_pos_as_xyz
'x,y,z'
loop_
_atom_site_label
_atom_site_fract_x
_atom_site_fract_y
_atom_site_fract_z
Tm1 0.234 0.234 0.234
Tm2 0.237 0.733 0.733
Tm3 0.267 0.267 0.763
Tm4 0.267 0.763 0.267
Tm5 0.733 0.237 0.733
Tm6 0.733 0.733 0.237
Tm7 0.763 0.267 0.267
Tm8 0.766 0.766 0.766
Te1 0.000 0.000 0.000
Te2 0.000 0.500 0.500
Te3 0.500 0.000 0.500
Te4 0.500 0.500 0.000
P1 0.500 0.500 0.500
S1 0.000 0.000 0.500
S2 0.000 0.500 0.000
S3 0.500 0.000 0.000
```